Version w
## Tb6PmSm12 (PBE)

Data for Tb6PmSm12 after structural relaxation.

Cell: 8.8067 8.8067 8.8067 Å, 98.93 98.93 98.93°
With the nearest neighbours (Å) after each atom.
Fractional coordinates of all 19 atoms:
1 Tb 0.1603 0.5976 0.5976  1 Tb 3.15, 1 Pm 3.43, 2 Sm 3.50
2 Tb 0.4024 0.4024 0.8397  1 Tb 3.15, 1 Pm 3.43, 2 Sm 3.50
3 Tb 0.4024 0.8397 0.4024  1 Tb 3.15, 1 Pm 3.43, 2 Sm 3.50
4 Tb 0.5976 0.1603 0.5976  1 Tb 3.15, 1 Pm 3.43, 2 Sm 3.50
5 Tb 0.5976 0.5976 0.1603  1 Tb 3.15, 1 Pm 3.43, 2 Sm 3.50
6 Tb 0.8397 0.4024 0.4024  1 Tb 3.15, 1 Pm 3.43, 2 Sm 3.50
7 Pm 0.5000 0.5000 0.5000  6 Tb 3.43
8 Sm 0.0000 0.2591 0.7409  6 Sm 3.38-3.57, 4 Tb 3.50-3.59
9 Sm 0.0000 0.7409 0.2591  6 Sm 3.38-3.57, 4 Tb 3.50-3.59
10 Sm 0.1448 0.1448 0.4168  6 Sm 3.38-3.64, 2 Tb 3.78
11 Sm 0.1448 0.4168 0.1448  6 Sm 3.38-3.64, 2 Tb 3.78
12 Sm 0.2591 0.0000 0.7409  6 Sm 3.38-3.57, 4 Tb 3.50-3.59
13 Sm 0.2591 0.7409 0.0000  6 Sm 3.38-3.57, 4 Tb 3.50-3.59
14 Sm 0.4168 0.1448 0.1448  6 Sm 3.38-3.64, 2 Tb 3.78
15 Sm 0.5832 0.8552 0.8552  6 Sm 3.38-3.64, 2 Tb 3.78
16 Sm 0.7409 0.0000 0.2591  6 Sm 3.38-3.57, 4 Tb 3.50-3.59
17 Sm 0.7409 0.2591 0.0000  6 Sm 3.38-3.57, 4 Tb 3.50-3.59
18 Sm 0.8552 0.5832 0.8552  6 Sm 3.38-3.64, 2 Tb 3.78
19 Sm 0.8552 0.8552 0.5832  6 Sm 3.38-3.64, 2 Tb 3.78

Values from the calculation:
spin magnetization = 0.0 Bohr magnetons per cell

Version x
## Tb6PmSm12 (PBE)

Data for Tb6PmSm12 after structural relaxation.

Cell: 8.6383 8.6383 8.6383 Å, 88.92 88.92 88.92°
With the nearest neighbours (Å) after each atom.
Fractional coordinates of all 19 atoms:
1 Tb 0.1969 0.5967 0.7597  7 Sm 3.34-3.71, 1 Pm 3.51, 2 Tb 3.55
2 Tb 0.2403 0.8031 0.4033  7 Sm 3.34-3.71, 1 Pm 3.51, 2 Tb 3.55
3 Tb 0.4033 0.2403 0.8031  7 Sm 3.34-3.71, 1 Pm 3.51, 2 Tb 3.55
4 Tb 0.5967 0.7597 0.1969  7 Sm 3.34-3.71, 1 Pm 3.51, 2 Tb 3.55
5 Tb 0.7597 0.1969 0.5967  7 Sm 3.34-3.71, 1 Pm 3.51, 2 Tb 3.55
6 Tb 0.8031 0.4033 0.2403  7 Sm 3.34-3.71, 1 Pm 3.51, 2 Tb 3.55
7 Pm 0.5000 0.5000 0.5000  6 Tb 3.51, 6 Sm 3.59
8 Sm 0.0381 0.2782 0.9339  6 Sm 3.32-3.70, 3 Tb 3.34-3.48
9 Sm 0.0661 0.9619 0.7218  6 Sm 3.32-3.70, 3 Tb 3.34-3.48
10 Sm 0.1400 0.3011 0.4843  4 Sm 3.45-3.61, 4 Tb 3.54-3.71, 1 Pm 3.59
11 Sm 0.2782 0.9339 0.0381  6 Sm 3.32-3.70, 3 Tb 3.34-3.48
12 Sm 0.3011 0.4843 0.1400  4 Sm 3.45-3.61, 4 Tb 3.54-3.71, 1 Pm 3.59
13 Sm 0.4843 0.1400 0.3011  4 Sm 3.45-3.61, 4 Tb 3.54-3.71, 1 Pm 3.59
14 Sm 0.5157 0.8600 0.6989  4 Sm 3.45-3.61, 4 Tb 3.54-3.71, 1 Pm 3.59
15 Sm 0.6989 0.5157 0.8600  4 Sm 3.45-3.61, 4 Tb 3.54-3.71, 1 Pm 3.59
16 Sm 0.7218 0.0661 0.9619  6 Sm 3.32-3.70, 3 Tb 3.34-3.48
17 Sm 0.8600 0.6989 0.5157  4 Sm 3.45-3.61, 4 Tb 3.54-3.71, 1 Pm 3.59
18 Sm 0.9339 0.0381 0.2782  6 Sm 3.32-3.70, 3 Tb 3.34-3.48
19 Sm 0.9619 0.7218 0.0661  6 Sm 3.32-3.70, 3 Tb 3.34-3.48

Values from the calculation:
spin magnetization = 0.0 Bohr magnetons per cell

Which structure above is the least stable? It is version w.